# Y3SbSN, optimized geometry, DFT PBE-GGA
data_Y3SbSN
_chemical_formula_sum 'Y6 Sb2 S2 N2'
_space_group_name_H-M_alt 'P 1 21/m 1'
_space_group_IT_number 11
_space_group_name_Hall '-P 2yb'
_cell_length_a 8.4294
_cell_length_b 4.0553
_cell_length_c 9.0457
_cell_angle_alpha 90.00
_cell_angle_beta 101.47
_cell_angle_gamma 90.00
loop_
_atom_site_label
_atom_site_type_symbol
_atom_site_fract_x
_atom_site_fract_y
_atom_site_fract_z
Y1 Y 0.0761 0.2500 0.3446
Y2 Y 0.3386 0.2500 0.9869
Y3 Y 0.3892 0.7500 0.6561
Sb1 Sb 0.3213 0.7500 0.2869
S1 S 0.1511 0.2500 0.6512
N1 N 0.4010 0.7500 0.8978
# ρ = 4762 kg/m³
# Uncorrected formation energy = -1461 meV/atom
# M_tot = 0.0 μB/cell